[1]
The following is a PBE calculation of crystalline KTePbI2 at its relaxed geometry, from the Alexandria database.

a = 6.369 Å, b = 6.369 Å, c = 6.025 Å
α = 90.00°, β = 90.00°, γ = 90.00°
Each line ends with the local moment (μB).
Atoms (fractional coordinates):
Pb  0.000  0.000  0.000  0.00
I  0.000  0.500  0.000  0.05
I  0.500  0.000  0.000  0.05
K  0.500  0.500  0.500  0.00
Te  0.000  0.000  0.500  0.27

Its formation energy from raw total energies is -567.3 meV/atom. Its total energy is -0.102 hartree per atom. The space group is P4/mmm (123).

***

[2]
The following is a PBE calculation of crystalline RbCoI3 at its relaxed geometry, from the Alexandria database.

a = 6.760 Å, b = 6.760 Å, c = 6.760 Å
α = 90.00°, β = 90.00°, γ = 90.00°
Each line ends with the local moment (μB).
Atoms (fractional coordinates):
I  0.000  0.500  0.000  0.20
I  0.000  0.000  0.500  0.15
I  0.500  0.000  0.000  0.14
Co  0.500  0.500  0.500  2.13
Rb  0.000  0.000  0.000  0.01

Its formation energy from raw total energies is 678.3 meV/atom. Its total energy is -0.069 hartree per atom. The space group is Pm-3m (221).